This record from the Alexandria database describes a geometry-optimized Ce5Co2Os2 structure. The functional is PBE. Values from VASP.

Summary:
Calculated density (g/cm³): 9.8
E_tot (eV/atom): -7.483
Space-group type: No. 46
Calculated volume (Å³/atom): 22.67
ΔH_f (0 K) (meV per atom): -112

Cell and atoms, written as Quantum ESPRESSO input:
```
&SYSTEM
  ibrav = 0, nat = 18, ntyp = 3
/
ATOMIC_SPECIES
Ce 140.12 Ce.upf
Co 58.93 Co.upf
Os 190.23 Os.upf
CELL_PARAMETERS angstrom
-8.2985 3.5093 3.5027
8.2985 -3.5093 3.5027
8.2985 3.5093 -3.5027
ATOMIC_POSITIONS crystal
Ce 0.1699 0.4917 0.9792
Ce 0.1699 0.6907 0.1782
Ce 0.1807 0.0597 0.2404
Ce 0.1807 0.4403 0.6210
Ce 0.5125 0.1907 0.0208
Ce 0.5125 0.9917 0.8218
Ce 0.6179 0.4942 0.6237
Ce 0.8193 0.5597 0.3790
Ce 0.8193 0.9403 0.7596
Ce 0.8705 0.9942 0.3763
Co 0.0389 0.2912 0.2477
Co 0.0436 0.7912 0.7523
Co 0.3153 0.3153 0.0000
Co 0.3153 0.8153 0.5000
Os 0.6301 0.0799 0.3866
Os 0.6301 0.7435 0.0502
Os 0.6933 0.2435 0.6134
Os 0.6933 0.5799 0.9498
```